An optimized crystal structure of Nd2Se. Source: Alexandria via LeMat-Bulk, functional PBE.

a b c (Å): 5.4370 5.4370 10.1776
angles (deg): 90.00 90.00 120.00
Last column: nearest neighbours and their distance in Å.
Sites, in units of the cell vectors:
Nd  0.0000  0.0000  0.1922  4 Se 3.13-3.42, 3 Nd 3.50
Nd  0.0000  0.0000  0.8078  4 Se 3.13-3.42, 3 Nd 3.50
Nd  0.3333  0.6667  0.3896  4 Se 2.89-3.20
Nd  0.3333  0.6667  0.9593  1 Se 2.91, 3 Nd 3.25
Nd  0.6667  0.3333  0.0407  1 Se 2.91, 3 Nd 3.25
Nd  0.6667  0.3333  0.6104  4 Se 2.89-3.20
Se  0.0000  0.0000  0.5000  8 Nd 3.13-3.33
Se  0.3333  0.6667  0.6735  5 Nd 2.89-3.20
Se  0.6667  0.3333  0.3265  5 Nd 2.89-3.20

Calculated values
Total DFT energy (no corrections) ... -47.3 eV per cell